The following is a PBE calculation of crystalline InCoPb2 at its relaxed geometry, from the Alexandria database.

The structure in extended XYZ format:
```
4
Lattice="-0.516 -5.424 5.033 4.664 -3.970 4.183 -3.080 6.230 -2.593" Properties=species:S:1:pos:R:3 pbc="T T T"
Pb 3.818 -8.646 8.481
Pb 2.405 -5.446 5.342
In 1.830 -1.219 3.099
Co -0.760 -1.946 3.524
```

Values from the calculation:
ΔH_f (0 K)	0.196	eV per atom


The following is a PBE calculation of crystalline AlSi2Ir at its relaxed geometry, from the Alexandria database.

The structure in extended XYZ format:
```
4
Lattice="3.921 0.000 0.000 0.000 3.923 0.000 0.000 0.000 3.648" Properties=species:S:1:pos:R:3 pbc="T T T"
Al 1.960 0.000 1.824
Si 0.000 0.000 0.000
Si 1.960 1.962 0.000
Ir 0.000 1.962 1.824
```

Values from the calculation:
ΔE_f (raw)	-3	meV/atom
energy relative to the lowest polymorph listed for this composition	199	meV/atom


The following is a PBE calculation of crystalline Li3HBr at its relaxed geometry, from the Alexandria database.

The structure in extended XYZ format:
```
5
Lattice="-1.463 1.121 3.870 -3.600 -2.212 -0.721 1.809 -3.497 1.696" Properties=species:S:1:pos:R:3 pbc="T T T"
Li -1.800 -1.106 -0.360
Li -0.732 0.560 1.935
Li 0.905 -1.748 0.848
Br -1.627 -2.294 2.423
H 0.000 0.000 0.000
```

Values from the calculation:
energy relative to the lowest polymorph listed for this composition	0	meV/atom


The following is a PBE calculation of crystalline Ac2TbSmO6 at its relaxed geometry, from the Alexandria database.

The structure in extended XYZ format:
```
20
Lattice="6.090 0.000 -0.024 0.000 6.281 0.000 0.019 0.000 8.795" Properties=species:S:1:pos:R:3 pbc="T T T"
Tb 0.000 3.141 0.000
Tb 3.054 0.000 4.386
O 1.877 4.396 3.788
O 1.836 4.365 0.581
O 4.891 5.057 4.967
O 4.232 1.886 4.983
O 0.775 2.779 6.619
O 1.218 1.224 3.804
O 1.178 1.255 0.597
O 5.334 3.502 2.152
O 3.810 0.362 2.210
O 4.272 1.917 8.190
O 2.298 5.919 6.561
O 4.931 5.026 8.174
Sm 0.010 3.141 4.397
Sm 3.045 0.000 -0.012
Ac 2.954 2.838 2.184
Ac 6.008 0.303 6.570
Ac 0.101 5.978 2.201
Ac 3.155 3.444 6.587
```

Values from the calculation:
ΔE_f (raw)	-3391	meV/atom


The records above give, respectively, total magnetic moment values of 0.42 0.00 0.00 0.00 μB per formula unit.